1.
A geometry-optimized RbMnPt structure. Source: Alexandria via LeMat-Bulk, functional PBE-GGA.

Computed properties:
- Excess energy over the best structure of this formula in the dataset: 638 meV per atom
- DOS at the Fermi energy: 10.2 states/eV per cell
- SG: P6_3/mmc, No. 194

extended XYZ file:
```
6
Lattice="4.016 0.000 0.000 -2.008 3.478 0.000 0.000 0.000 11.633" Properties=species:S:1:pos:R:3 pbc="T T T"
Rb 0.000 0.000 0.000
Rb 0.000 0.000 5.817
Mn 0.000 2.319 2.908
Mn 2.008 1.159 8.725
Pt 0.000 2.319 8.725
Pt 2.008 1.159 2.908
```

---

2.
A geometry-optimized SiSbTe4 structure. Source: Alexandria via LeMat-Bulk, functional PBE-GGA.

Computed properties:
- Excess energy over the best structure of this formula in the dataset: 769 meV per atom
- DOS at the Fermi energy: 3.4 states/eV per cell
- SG: F-43m, No. 216
- Formation energy without anion corrections: 0.778 eV per atom

extended XYZ file:
```
6
Lattice="0.000 4.431 4.431 4.431 0.000 4.431 4.431 4.431 0.000" Properties=species:S:1:pos:R:3 pbc="T T T"
Si 0.000 0.000 0.000
Sb 2.216 2.216 2.216
Te 5.539 3.324 3.324
Te 3.324 5.539 3.324
Te 3.324 3.324 5.539
Te 5.539 5.539 5.539
```

---

3.
A geometry-optimized NaCoCu3 structure. Source: Alexandria via LeMat-Bulk, functional PBE-GGA.

Computed properties:
- Excess energy over the best structure of this formula in the dataset: 0 meV per atom
- DOS at the Fermi energy: 6.7 states/eV per cell
- SG: Pm-3m, No. 221

extended XYZ file:
```
5
Lattice="4.518 0.000 0.000 0.000 4.518 0.000 0.000 0.000 4.518" Properties=species:S:1:pos:R:3 pbc="T T T"
Na 0.000 0.000 0.000
Co 2.259 2.259 2.259
Cu 0.000 2.259 2.259
Cu 2.259 0.000 2.259
Cu 2.259 2.259 0.000
```

---

4.
A geometry-optimized SiOsCl2 structure. Source: Alexandria via LeMat-Bulk, functional PBE-GGA.

Computed properties:
- Excess energy over the best structure of this formula in the dataset: 466 meV per atom
- DOS at the Fermi energy: 2.9 states/eV per cell
- SG: Cmm2, No. 35
- Formation energy without anion corrections: 0.268 eV per atom

extended XYZ file:
```
4
Lattice="1.540 -2.803 0.000 1.540 2.803 0.000 0.000 0.000 9.204" Properties=species:S:1:pos:R:3 pbc="T T T"
Si 0.000 0.000 0.000
Os 1.540 0.000 7.493
Cl 0.000 0.000 5.489
Cl 1.540 0.000 1.853
```

---

5.
A geometry-optimized UAlAu2 structure. Source: Alexandria via LeMat-Bulk, functional PBE-GGA.

Computed properties:
- DOS at the Fermi energy: 8.8 states/eV per cell
- DFT total energy: -5.661 eV per atom
- SG: P2_1/m, No. 11

extended XYZ file:
```
8
Lattice="6.338 0.000 0.000 0.000 3.619 0.000 -2.369 0.000 6.639" Properties=species:S:1:pos:R:3 pbc="T T T"
U -0.576 0.905 2.675
U 4.545 2.714 3.964
Al 0.099 0.905 5.707
Al 3.870 2.714 0.932
Au 1.095 2.714 0.444
Au 1.437 2.714 4.296
Au 2.532 0.905 2.343
Au 2.874 0.905 6.194
```

---

6.
A geometry-optimized NaCaScIn structure. Source: Alexandria via LeMat-Bulk, functional PBE-GGA.

Computed properties:
- DOS at the Fermi energy: 3.7 states/eV per cell
- DFT total energy: -3.205 eV per atom
- SG: F-43m, No. 216

extended XYZ file:
```
4
Lattice="0.000 3.776 3.776 3.776 0.000 3.776 3.776 3.776 0.000" Properties=species:S:1:pos:R:3 pbc="T T T"
Na 0.000 0.000 0.000
Ca 5.663 5.663 5.663
Sc 1.888 1.888 1.888
In 3.776 3.776 3.776
```

---

7.
A geometry-optimized TbAl2Pt structure. Source: Alexandria via LeMat-Bulk, functional PBE-GGA.

Computed properties:
- DOS at the Fermi energy: 14.8 states/eV per cell
- DFT total energy: -5.503 eV per atom
- SG: Pnma, No. 62

extended XYZ file:
```
32
Lattice="15.836 0.000 0.000 0.000 6.947 0.000 0.000 0.000 5.602" Properties=species:S:1:pos:R:3 pbc="T T T"
Tb 1.677 1.737 1.350
Tb 2.270 5.210 2.661
Tb 5.648 1.737 5.462
Tb 6.241 5.210 4.151
Tb 9.595 1.737 1.451
Tb 10.188 5.210 0.140
Tb 13.566 1.737 2.941
Tb 14.160 5.210 4.252
Al 0.572 0.376 4.207
Al 0.572 3.098 4.207
Al 3.363 3.860 5.399
Al 3.363 6.561 5.399
Al 4.555 0.387 2.598
Al 4.555 3.087 2.598
Al 7.347 3.849 1.406
Al 7.347 6.572 1.406
Al 8.490 0.376 4.196
Al 8.490 3.098 4.196
Al 11.281 3.860 3.004
Al 11.281 6.561 3.004
Al 12.473 0.387 0.203
Al 12.473 3.087 0.203
Al 15.265 3.849 1.395
Al 15.265 6.572 1.395
Pt 1.134 5.210 5.561
Pt 2.811 1.737 4.053
Pt 5.107 5.210 1.252
Pt 6.784 1.737 2.760
Pt 9.052 5.210 2.842
Pt 10.729 1.737 4.350
Pt 13.025 5.210 1.549
Pt 14.702 1.737 0.041
```

---

8.
A geometry-optimized La7Nd2Er2 structure. Source: Alexandria via LeMat-Bulk, functional PBE-GGA.

Computed properties:
- Excess energy over the best structure of this formula in the dataset: 0 meV per atom
- DOS at the Fermi energy: 14.9 states/eV per cell
- SG: C2/m, No. 12

extended XYZ file:
```
11
Lattice="8.823 -6.004 0.000 8.823 6.004 0.000 -0.508 0.000 3.713" Properties=species:S:1:pos:R:3 pbc="T T T"
La 0.000 0.000 0.000
La 5.515 3.010 3.069
La 6.915 0.000 0.924
La 11.623 3.010 0.644
La 5.515 -3.010 3.069
La 10.223 0.000 2.789
La 11.623 -3.010 0.644
Nd 3.284 0.000 2.460
Nd 13.854 0.000 1.253
Er 8.569 2.985 1.857
Er 8.569 -2.985 1.857
```

---

9.
A geometry-optimized Tb4CeDy7 structure. Source: Alexandria via LeMat-Bulk, functional PBE-GGA.

Computed properties:
- Excess energy over the best structure of this formula in the dataset: 0 meV per atom
- DOS at the Fermi energy: 22.3 states/eV per cell
- SG: P-1, No. 2

extended XYZ file:
```
12
Lattice="5.952 0.000 0.000 -0.006 6.872 0.000 -0.026 -3.429 9.399" Properties=species:S:1:pos:R:3 pbc="T T T"
Tb 1.462 1.588 2.561
Tb 1.460 5.293 2.560
Tb 4.460 -1.849 6.839
Tb 4.457 1.856 6.838
Ce 2.973 3.436 0.000
Dy -0.003 3.436 0.000
Dy 1.457 0.001 5.886
Dy 1.459 3.445 8.660
Dy 1.500 3.438 5.372
Dy 4.419 0.005 4.027
Dy 4.460 -0.001 0.739
Dy 4.462 3.442 3.513
```

---

10.
A geometry-optimized Pu2AlSi2Ir5 structure. Source: Alexandria via LeMat-Bulk, functional PBE-GGA.

Computed properties:
- DOS at the Fermi energy: 46.0 states/eV per cell
- SG: P4/mbm, No. 127
- Formation energy without anion corrections: -0.612 eV per atom

extended XYZ file:
```
20
Lattice="9.655 0.000 0.000 0.000 9.655 0.000 0.000 0.000 3.556" Properties=species:S:1:pos:R:3 pbc="T T T"
Pu 1.696 3.132 0.000
Pu 3.132 7.959 0.000
Pu 6.523 1.696 0.000
Pu 7.959 6.523 0.000
Al 0.000 0.000 0.000
Al 4.828 4.828 0.000
Si 1.203 6.031 0.000
Si 3.624 1.203 0.000
Si 6.031 8.452 0.000
Si 8.452 3.624 0.000
Ir 0.000 4.828 1.778
Ir 0.634 7.646 1.778
Ir 2.009 0.634 1.778
Ir 2.818 5.462 1.778
Ir 4.193 2.818 1.778
Ir 4.828 0.000 1.778
Ir 5.462 6.837 1.778
Ir 6.837 4.193 1.778
Ir 7.646 9.021 1.778
Ir 9.021 2.009 1.778
```

---

11.
A geometry-optimized Pa2Zn16Pd structure. Source: Alexandria via LeMat-Bulk, functional PBE-GGA.

Computed properties:
- DOS at the Fermi energy: 12.3 states/eV per cell
- DFT total energy: -2.516 eV per atom
- SG: R3m, No. 160

extended XYZ file:
```
19
Lattice="4.476 2.584 4.386 -4.476 2.584 4.386 0.000 -5.168 4.386" Properties=species:S:1:pos:R:3 pbc="T T T"
Pa 0.000 0.000 0.000
Pa 0.000 0.000 4.247
Zn 0.000 -2.501 2.322
Zn -2.166 1.250 2.322
Zn -2.236 -1.291 6.479
Zn 0.000 -2.631 6.264
Zn -2.278 1.315 6.264
Zn -1.305 -2.262 8.663
Zn -2.611 0.001 8.663
Zn 2.166 1.250 2.322
Zn 1.305 -2.262 8.663
Zn -1.307 2.261 8.663
Zn 2.236 -1.291 6.479
Zn 0.000 2.581 6.479
Zn 0.000 0.000 10.045
Zn 2.278 1.315 6.264
Zn 2.611 0.001 8.663
Zn 1.307 2.261 8.663
Pd 0.000 0.000 7.300
```

---

12.
A geometry-optimized SrSmHgSb structure. Source: Alexandria via LeMat-Bulk, functional PBE-GGA.

Computed properties:
- DOS at the Fermi energy: 4.3 states/eV per cell
- SG: F-43m, No. 216
- Formation energy without anion corrections: -0.625 eV per atom

extended XYZ file:
```
4
Lattice="0.000 3.907 3.907 3.907 0.000 3.907 3.907 3.907 0.000" Properties=species:S:1:pos:R:3 pbc="T T T"
Sr 0.000 0.000 0.000
Sm 3.907 3.907 3.907
Hg 5.861 5.861 5.861
Sb 1.954 1.954 1.954
```